VASP calculation (GGA-PBE) on a geometry-optimized NaSmGeO4 structure.

For the theoretical density, the calculation gives 4.91 g/cm3. The total energy comes out at -6.791 eV per atom. Its offset from the most stable computed form is 0.0 meV/atom. Its density of states at the Fermi level is 0.00 states/eV/cell.

The space group is Pnma (No. 62) and the conventional cell measures 11.728, 6.644 and 5.380 Å, with angles of 90.00, 90.00 and 90.00 degrees. The asymmetric unit holds Na at (0.000, 0.000, 0.000), Sm at (0.221, 0.250, 0.499), Ge at (0.096, 0.750, 0.559), O at (0.044, 0.250, 0.319), O at (0.109, 0.750, 0.235) and O at (0.171, 0.545, 0.709).

---

VASP calculation (GGA-PBE) on a geometry-optimized NaSm2GeO5 structure.

For the theoretical density, the calculation gives 6.05 g/cm3. The total energy comes out at -6.821 eV per atom. Its density of states at the Fermi level is 10.75 states/eV/cell.

The space group is I4/mcm (No. 140) and the conventional cell measures 6.737, 6.737 and 11.518 Å, with angles of 90.00, 90.00 and 90.00 degrees. The asymmetric unit holds Na at (0.000, 0.000, 0.250), Sm at (0.178, 0.322, 0.000), Ge at (0.000, 0.500, 0.250), O at (0.000, 0.000, 0.000) and O at (0.139, 0.361, 0.371).

---

VASP calculation (GGA-PBE) on a geometry-optimized Na2SnGeO4 structure.

For the theoretical density, the calculation gives 4.06 g/cm3. The total energy comes out at -5.523 eV per atom. Its density of states at the Fermi level is 0.00 states/eV/cell.

The space group is Pmn2_1 (No. 31) and the conventional cell measures 7.802, 6.047 and 5.222 Å, with angles of 90.00, 90.00 and 90.00 degrees. The asymmetric unit holds Na at (0.239, 0.179, 0.000), Sn at (0.000, 0.727, 0.001), Ge at (0.000, 0.350, 0.528), O at (0.000, 0.398, 0.873), O at (0.000, 0.627, 0.392) and O at (0.193, 0.208, 0.458).

---

VASP calculation (GGA-PBE) on a geometry-optimized Na2SrGeO4 structure.

For the theoretical density, the calculation gives 3.38 g/cm3. The total energy comes out at -5.602 eV per atom. Its density of states at the Fermi level is 0.00 states/eV/cell.

The space group is I-4 (No. 82) and the conventional cell measures 5.261, 5.261 and 9.589 Å, with angles of 90.00, 90.00 and 90.00 degrees. The asymmetric unit holds Na at (0.000, 0.000, 0.000), Na at (0.000, 0.500, 0.250), Sr at (0.000, 0.000, 0.500), Ge at (0.000, 0.500, 0.750) and O at (0.192, 0.295, 0.855).

---

VASP calculation (GGA-PBE) on a geometry-optimized Na4SrGe6O15 structure.

For the theoretical density, the calculation gives 4.45 g/cm3. The total energy comes out at -6.050 eV per atom. Its density of states at the Fermi level is 0.00 states/eV/cell.

The space group is P6_3/m (No. 176) and the conventional cell measures 11.0850, 11.0850 and 5.9982 Å, with angles of 90.00, 90.00 and 120.00 degrees. The asymmetric unit holds Na at (0.0000, 0.0000, 0.0000), Na at (0.1239, 0.8367, 0.2500), Sr at (0.3333, 0.6667, 0.2500), Ge at (0.0000, 0.5000, 0.0000), Ge at (0.1734, 0.7864, 0.7500), O at (0.0791, 0.4609, 0.2500), O at (0.0860, 0.4453, 0.7500), O at (0.0860, 0.8808, 0.7500) and O at (0.1530, 0.6865, 0.5050).

---

VASP calculation (GGA-PBE) on a geometry-optimized NaTaGe2O8 structure.

For the theoretical density, the calculation gives 5.43 g/cm3. The total energy comes out at -6.741 eV per atom. Its density of states at the Fermi level is 15.36 states/eV/cell.

The space group is I-4m2 (No. 119) and the conventional cell measures 6.873, 6.873 and 6.181 Å, with angles of 90.00, 90.00 and 90.00 degrees. The asymmetric unit holds Na at (0.000, 0.000, 0.000), Ta at (0.000, 0.500, 0.250), Ge at (0.000, 0.000, 0.500), Ge at (0.000, 0.500, 0.750), O at (0.000, 0.212, 0.337) and O at (0.000, 0.321, 0.957).